--- one ---
A relaxed structure of Er3IrPb2. Source: Alexandria, functional PBE.

Output
SG   Pnma
Theoretical density   11.505 g/cm³

a b c (Å): 12.5366 4.3876 11.6329
angles (deg): 90.00 90.00 90.00
Last column: nearest neighbours and their distance in Å.
Sites, in units of the cell vectors:
Er1 0.0568 0.2500 0.1316  1 Ir 2.88, 4 Pb 3.09-3.13
Er2 0.1163 0.7500 0.5377  3 Ir 2.95-3.18, 3 Pb 3.14-3.23
Er3 0.2459 0.7500 0.2868  2 Ir 2.85, 1 Pb 3.13
Er4 0.2541 0.2500 0.7868  2 Ir 2.85, 1 Pb 3.13
Er5 0.3837 0.2500 0.0377  3 Ir 2.95-3.18, 3 Pb 3.14-3.23
Er6 0.4432 0.7500 0.6316  1 Ir 2.88, 4 Pb 3.09-3.13
Er7 0.5568 0.2500 0.3684  1 Ir 2.88, 4 Pb 3.09-3.13
Er8 0.6163 0.7500 0.9623  3 Ir 2.95-3.18, 3 Pb 3.14-3.23
Er9 0.7459 0.7500 0.2132  2 Ir 2.85, 1 Pb 3.13
Er10 0.7541 0.2500 0.7132  2 Ir 2.85, 1 Pb 3.13
Er11 0.8837 0.2500 0.4623  3 Ir 2.95-3.18, 3 Pb 3.14-3.23
Er12 0.9432 0.7500 0.8684  1 Ir 2.88, 4 Pb 3.09-3.13
Ir1 0.1221 0.2500 0.3688  6 Er 2.85-3.18, 3 Pb 2.85-2.92
Ir2 0.3779 0.7500 0.8688  6 Er 2.85-3.18, 3 Pb 2.85-2.92
Ir3 0.6221 0.2500 0.1312  6 Er 2.85-3.18, 3 Pb 2.85-2.92
Ir4 0.8779 0.7500 0.6312  6 Er 2.85-3.18, 3 Pb 2.85-2.92
Pb1 0.0181 0.2500 0.6990  2 Ir 2.92, 6 Er 3.09-3.23
Pb2 0.1842 0.7500 0.9973  1 Ir 2.85, 2 Er 3.13
Pb3 0.3158 0.2500 0.4973  1 Ir 2.85, 2 Er 3.13
Pb4 0.4819 0.7500 0.1990  2 Ir 2.92, 6 Er 3.09-3.23
Pb5 0.5181 0.2500 0.8010  2 Ir 2.92, 6 Er 3.09-3.23
Pb6 0.6842 0.7500 0.5027  1 Ir 2.85, 2 Er 3.13
Pb7 0.8158 0.2500 0.0027  1 Ir 2.85, 2 Er 3.13
Pb8 0.9819 0.7500 0.3010  2 Ir 2.92, 6 Er 3.09-3.23

--- two ---
A relaxed structure of Er3IrPb2. Source: Alexandria, functional PBE.

Output
SG   C2/c
Theoretical density   11.629 g/cm³

a b c (Å): 8.1061 8.1061 7.0966
angles (deg): 104.68 104.68 44.90
Last column: nearest neighbours and their distance in Å.
Sites, in units of the cell vectors:
Er1 0.1616 0.8384 0.7500  1 Ir 2.84, 2 Pb 3.11
Er2 0.2949 0.4177 0.4019  1 Ir 2.68
Er3 0.4177 0.2949 0.9019  1 Ir 2.68
Er4 0.5823 0.7051 0.0981  1 Ir 2.68
Er5 0.7051 0.5823 0.5981  1 Ir 2.68
Er6 0.8384 0.1616 0.2500  1 Ir 2.84, 2 Pb 3.11
Ir1 0.3804 0.6196 0.2500  3 Er 2.68-2.84
Ir2 0.6196 0.3804 0.7500  3 Er 2.68-2.84
Pb1 0.0978 0.2357 0.0380  6 Er 3.11-3.34, 1 Ir 3.37
Pb2 0.2357 0.0978 0.5380  6 Er 3.11-3.34, 1 Ir 3.37
Pb3 0.7643 0.9022 0.4620  6 Er 3.11-3.34, 1 Ir 3.37
Pb4 0.9022 0.7643 0.9620  6 Er 3.11-3.34, 1 Ir 3.37

Most stable structure, least stable structure: one, two.

--- one ---
A relaxed structure of YErIrPb. Source: Alexandria, functional PBE.

Output
SG   P4mm
Theoretical density   11.188 g/cm³

a b c (Å): 3.4881 3.4881 7.9977
angles (deg): 90.00 90.00 90.00
Last column: nearest neighbours and their distance in Å.
Sites, in units of the cell vectors:
Y1 0.0000 0.0000 0.0000  4 Ir 2.98, 1 Er 3.27
Er1 0.0000 0.0000 0.5910  4 Ir 2.94, 1 Y 3.27
Ir1 0.5000 0.5000 0.7899  4 Er 2.94, 4 Y 2.98
Pb1 0.5000 0.5000 0.2975  4 Er 3.40, 4 Y 3.43, 4 Pb 3.49

--- two ---
A relaxed structure of YErIrPb. Source: Alexandria, functional PBE.

Output
SG   F-43m
Theoretical density   11.480 g/cm³

a b c (Å): 7.2387 7.2387 7.2387
angles (deg): 90.00 90.00 90.00
Last column: nearest neighbours and their distance in Å.
Sites, in units of the cell vectors:
Y1 0.0000 0.0000 0.0000  4 Pb 3.13, 4 Ir 3.13
Y2 0.0000 0.5000 0.5000  4 Pb 3.13, 4 Ir 3.13
Y3 0.5000 0.0000 0.5000  4 Pb 3.13, 4 Ir 3.13
Y4 0.5000 0.5000 0.0000  4 Pb 3.13, 4 Ir 3.13
Er1 0.0000 0.0000 0.5000  4 Pb 3.13, 4 Ir 3.13
Er2 0.0000 0.5000 0.0000  4 Pb 3.13, 4 Ir 3.13
Er3 0.5000 0.0000 0.0000  4 Pb 3.13, 4 Ir 3.13
Er4 0.5000 0.5000 0.5000  4 Pb 3.13, 4 Ir 3.13
Ir1 0.2500 0.2500 0.2500  4 Er 3.13, 4 Y 3.13
Ir2 0.2500 0.7500 0.7500  4 Er 3.13, 4 Y 3.13
Ir3 0.7500 0.2500 0.7500  4 Er 3.13, 4 Y 3.13
Ir4 0.7500 0.7500 0.2500  4 Er 3.13, 4 Y 3.13
Pb1 0.2500 0.2500 0.7500  4 Er 3.13, 4 Y 3.13
Pb2 0.2500 0.7500 0.2500  4 Er 3.13, 4 Y 3.13
Pb3 0.7500 0.2500 0.2500  4 Er 3.13, 4 Y 3.13
Pb4 0.7500 0.7500 0.7500  4 Er 3.13, 4 Y 3.13

Most stable structure, least stable structure: one, two.

--- one ---
A relaxed structure of Er4IrPd2. Source: Alexandria, functional PBE.

Output
SG   P1
Theoretical density   11.104 g/cm³

a b c (Å): 7.4684 7.4691 7.4728
angles (deg): 109.61 109.12 109.59
Last column: nearest neighbours and their distance in Å.
Sites, in units of the cell vectors:
Er1 0.0000 0.0000 0.0000  1 Ir 2.77, 2 Pd 2.81-2.86
Er2 0.0009 0.5009 0.0026  1 Ir 2.77, 2 Pd 2.81-2.86
Er3 0.1386 0.8789 0.5177  1 Ir 2.77, 2 Pd 2.81-2.86
Er4 0.3795 0.7571 0.8795  1 Ir 2.77, 2 Pd 2.81-2.86
Er5 0.5155 0.3781 0.1382  1 Ir 2.77, 2 Pd 2.81-2.86
Er6 0.5179 0.3792 0.6399  1 Ir 2.77, 2 Pd 2.81-2.86
Er7 0.6386 0.8796 0.5172  1 Ir 2.77, 2 Pd 2.81-2.86
Er8 0.8785 0.2575 0.3791  1 Ir 2.77, 2 Pd 2.81-2.86
Ir1 0.6338 0.1290 0.8842  4 Er 2.77
Ir2 0.8839 0.6290 0.6342  4 Er 2.77
Pd1 0.1381 0.2592 0.7586  4 Er 2.81-2.86
Pd2 0.2596 0.4991 0.3802  4 Er 2.81-2.86
Pd3 0.3786 0.9997 0.2589  4 Er 2.81-2.86
Pd4 0.7594 0.7587 0.1397  4 Er 2.81-2.86

--- two ---
A relaxed structure of Er4IrPd2. Source: Alexandria, functional PBE.

Output
SG   R-3m
Theoretical density   10.997 g/cm³

a b c (Å): 8.4568 8.4568 8.4568
angles (deg): 33.29 33.29 33.29
Last column: nearest neighbours and their distance in Å.
Sites, in units of the cell vectors:
Er1 0.1227 0.1227 0.1227  1 Ir 2.94, 4 Pd 2.94-3.02
Er2 0.3734 0.3734 0.3734  3 Ir 2.96, 4 Pd 2.98-2.99
Er3 0.6266 0.6266 0.6266  3 Ir 2.96, 4 Pd 2.98-2.99
Er4 0.8773 0.8773 0.8773  1 Ir 2.94, 4 Pd 2.94-3.02
Ir1 0.0000 0.0000 0.0000  8 Er 2.94-2.96
Pd1 0.2489 0.2489 0.2489  8 Er 2.94-3.02
Pd2 0.7511 0.7511 0.7511  8 Er 2.94-3.02

Most stable structure, least stable structure: one, two.

--- one ---
A relaxed structure of PmErIr2. Source: Alexandria, functional PBE.

Output
SG   Fm-3m
Theoretical density   13.947 g/cm³

a b c (Å): 6.9229 6.9229 6.9229
angles (deg): 90.00 90.00 90.00
Last column: nearest neighbours and their distance in Å.
Sites, in units of the cell vectors:
Pm1 0.0000 0.0000 0.0000  8 Ir 3.00
Pm2 0.0000 0.5000 0.5000  8 Ir 3.00
Pm3 0.5000 0.0000 0.5000  8 Ir 3.00
Pm4 0.5000 0.5000 0.0000  8 Ir 3.00
Er1 0.0000 0.0000 0.5000  8 Ir 3.00
Er2 0.0000 0.5000 0.0000  8 Ir 3.00
Er3 0.5000 0.0000 0.0000  8 Ir 3.00
Er4 0.5000 0.5000 0.5000  8 Ir 3.00
Ir1 0.2500 0.2500 0.2500  4 Er 3.00, 4 Pm 3.00
Ir2 0.2500 0.2500 0.7500  4 Er 3.00, 4 Pm 3.00
Ir3 0.2500 0.7500 0.2500  4 Er 3.00, 4 Pm 3.00
Ir4 0.2500 0.7500 0.7500  4 Er 3.00, 4 Pm 3.00
Ir5 0.7500 0.2500 0.2500  4 Er 3.00, 4 Pm 3.00
Ir6 0.7500 0.2500 0.7500  4 Er 3.00, 4 Pm 3.00
Ir7 0.7500 0.7500 0.2500  4 Er 3.00, 4 Pm 3.00
Ir8 0.7500 0.7500 0.7500  4 Pm 3.00, 4 Er 3.00

--- two ---
A relaxed structure of PmErIr2. Source: Alexandria, functional PBE.

Output
SG   Pmma
Theoretical density   13.975 g/cm³

a b c (Å): 4.9753 3.3336 9.9821
angles (deg): 90.00 90.00 90.00
Last column: nearest neighbours and their distance in Å.
Sites, in units of the cell vectors:
Pm1 0.2500 0.0000 0.1276  8 Ir 3.00-3.11, 2 Pm 3.33
Pm2 0.7500 0.0000 0.8724  8 Ir 3.00-3.11, 2 Pm 3.33
Er1 0.2500 0.0000 0.6212  8 Ir 2.91-2.99
Er2 0.7500 0.0000 0.3788  8 Ir 2.91-2.99
Ir1 0.2500 0.5000 0.3819  6 Er 2.91-2.99, 2 Pm 3.04
Ir2 0.2500 0.5000 0.8644  2 Er 2.94, 6 Pm 3.00-3.11
Ir3 0.7500 0.5000 0.1356  2 Er 2.94, 6 Pm 3.00-3.11
Ir4 0.7500 0.5000 0.6181  6 Er 2.91-2.99, 2 Pm 3.04

Most stable structure, least stable structure: two, one.

--- one ---
A relaxed structure of Pm2ErIr2. Source: Alexandria, functional PBE.

Output
SG   Ibam
Theoretical density   10.710 g/cm³

a b c (Å): 7.3279 7.3279 7.3279
angles (deg): 115.45 86.05 129.72
Last column: nearest neighbours and their distance in Å.
Sites, in units of the cell vectors:
Pm1 0.1600 0.1346 0.2947  3 Ir 2.81-2.98
Pm2 0.3400 0.6346 0.9746  3 Ir 2.81-2.98
Pm3 0.6600 0.3654 0.0254  3 Ir 2.81-2.98
Pm4 0.8400 0.8654 0.7053  3 Ir 2.81-2.98
Er1 0.2500 0.7500 0.5000  4 Ir 2.79, 2 Er 3.11
Er2 0.7500 0.2500 0.5000  4 Ir 2.79, 2 Er 3.11
Ir1 0.0954 0.7647 0.8601  2 Er 2.79, 3 Pm 2.81-2.98
Ir2 0.4046 0.2647 0.6693  2 Er 2.79, 3 Pm 2.81-2.98
Ir3 0.5954 0.7353 0.3307  2 Er 2.79, 3 Pm 2.81-2.98
Ir4 0.9046 0.2353 0.1399  2 Er 2.79, 3 Pm 2.81-2.98

--- two ---
A relaxed structure of Pm2ErIr2. Source: Alexandria, functional PBE.

Output
SG   Pmmn
Theoretical density   11.247 g/cm³

a b c (Å): 4.8594 4.9122 10.4123
angles (deg): 90.00 90.00 90.00
Last column: nearest neighbours and their distance in Å.
Sites, in units of the cell vectors:
Pm1 0.2500 0.2500 0.0039  4 Ir 2.95-3.01
Pm2 0.2500 0.2500 0.6699  6 Ir 2.97-3.06
Pm3 0.7500 0.7500 0.3301  6 Ir 2.97-3.06
Pm4 0.7500 0.7500 0.9961  4 Ir 2.95-3.01
Er1 0.2500 0.2500 0.3417  6 Ir 2.92-3.05
Er2 0.7500 0.7500 0.6583  6 Ir 2.92-3.05
Ir1 0.2500 0.7500 0.4941  4 Er 2.92-2.97, 4 Pm 2.97-3.06
Ir2 0.2500 0.7500 0.8360  6 Pm 2.95-3.01, 2 Er 3.05
Ir3 0.7500 0.2500 0.1640  6 Pm 2.95-3.01, 2 Er 3.05
Ir4 0.7500 0.2500 0.5059  4 Er 2.92-2.97, 4 Pm 2.97-3.06

Most stable structure, least stable structure: two, one.

--- one ---
A relaxed structure of PmErSiIr. Source: Alexandria, functional PBE.

Output
SG   F-43m
Theoretical density   10.170 g/cm³

a b c (Å): 7.0327 7.0327 7.0327
angles (deg): 90.00 90.00 90.00
Last column: nearest neighbours and their distance in Å.
Sites, in units of the cell vectors:
Pm1 0.0000 0.0000 0.0000  4 Ir 3.05, 4 Si 3.05
Pm2 0.0000 0.5000 0.5000  4 Ir 3.05, 4 Si 3.05
Pm3 0.5000 0.0000 0.5000  4 Ir 3.05, 4 Si 3.05
Pm4 0.5000 0.5000 0.0000  4 Ir 3.05, 4 Si 3.05
Er1 0.0000 0.0000 0.5000  4 Si 3.05, 4 Ir 3.05
Er2 0.0000 0.5000 0.0000  4 Si 3.05, 4 Ir 3.05
Er3 0.5000 0.0000 0.0000  4 Si 3.05, 4 Ir 3.05
Er4 0.5000 0.5000 0.5000  4 Si 3.05, 4 Ir 3.05
Si1 0.2500 0.2500 0.7500  4 Er 3.05, 4 Pm 3.05
Si2 0.2500 0.7500 0.2500  4 Er 3.05, 4 Pm 3.05
Si3 0.7500 0.2500 0.2500  4 Er 3.05, 4 Pm 3.05
Si4 0.7500 0.7500 0.7500  4 Er 3.05, 4 Pm 3.05
Ir1 0.2500 0.2500 0.2500  4 Er 3.05, 4 Pm 3.05
Ir2 0.2500 0.7500 0.7500  4 Er 3.05, 4 Pm 3.05
Ir3 0.7500 0.2500 0.7500  4 Er 3.05, 4 Pm 3.05
Ir4 0.7500 0.7500 0.2500  4 Er 3.05, 4 Pm 3.05

--- two ---
A relaxed structure of PmErSiIr. Source: Alexandria, functional PBE.

Output
SG   Amm2
Theoretical density   9.775 g/cm³

a b c (Å): 3.9046 4.2406 10.9279
angles (deg): 90.00 90.00 90.00
Last column: nearest neighbours and their distance in Å.
Sites, in units of the cell vectors:
Pm1 0.0000 0.0000 0.0000  3 Ir 3.01-3.25, 4 Si 3.03
Pm2 0.0000 0.5000 0.5000  3 Ir 3.01-3.25, 4 Si 3.03
Er1 0.5000 0.0000 0.2818  4 Ir 2.95, 2 Si 3.01
Er2 0.5000 0.5000 0.7818  4 Ir 2.95, 2 Si 3.01
Si1 0.5000 0.0000 0.5857  2 Ir 2.47
Si2 0.5000 0.5000 0.0857  2 Ir 2.47
Ir1 0.0000 0.0000 0.7249  2 Si 2.47
Ir2 0.0000 0.5000 0.2249  2 Si 2.47

Most stable structure, least stable structure: two, one.

--- one ---
A relaxed structure of PrErIr. Source: Alexandria, functional PBE.

Output
SG   P3m1
Theoretical density   8.818 g/cm³

a b c (Å): 4.1764 4.1764 6.2383
angles (deg): 90.00 90.00 120.00
Last column: nearest neighbours and their distance in Å.
Sites, in units of the cell vectors:
Pr1 0.0000 0.0000 0.0000  3 Ir 2.86
Er1 0.3333 0.6667 0.5417  3 Ir 2.75
Ir1 0.6667 0.3333 0.7535  3 Er 2.75, 3 Pr 2.86

--- two ---
A relaxed structure of PrErIr. Source: Alexandria, functional PBE.

Output
SG   F-43m
Theoretical density   10.068 g/cm³

a b c (Å): 6.9112 6.9112 6.9112
angles (deg): 90.00 90.00 90.00
Last column: nearest neighbours and their distance in Å.
Sites, in units of the cell vectors:
Pr1 0.0000 0.0000 0.0000  4 Ir 2.99
Pr2 0.0000 0.5000 0.5000  4 Ir 2.99
Pr3 0.5000 0.0000 0.5000  4 Ir 2.99
Pr4 0.5000 0.5000 0.0000  4 Ir 2.99
Er1 0.0000 0.0000 0.5000  4 Ir 2.99
Er2 0.0000 0.5000 0.0000  4 Ir 2.99
Er3 0.5000 0.0000 0.0000  4 Ir 2.99
Er4 0.5000 0.5000 0.5000  4 Ir 2.99
Ir1 0.2500 0.2500 0.2500  4 Pr 2.99, 4 Er 2.99
Ir2 0.2500 0.7500 0.7500  4 Pr 2.99, 4 Er 2.99
Ir3 0.7500 0.2500 0.7500  4 Pr 2.99, 4 Er 2.99
Ir4 0.7500 0.7500 0.2500  4 Pr 2.99, 4 Er 2.99

--- three ---
A relaxed structure of PrErIr. Source: Alexandria, functional PBE.

Output
SG   Amm2
Theoretical density   10.950 g/cm³

a b c (Å): 4.6293 7.5323 7.5323
angles (deg): 119.92 90.00 90.00
Last column: nearest neighbours and their distance in Å.
Sites, in units of the cell vectors:
Pr1 0.0000 0.0000 0.0000  5 Ir 3.10-3.24, 2 Er 3.40
Pr2 0.0000 0.4105 0.8215  5 Ir 3.10-3.25, 2 Er 3.40
Pr3 0.0000 0.8215 0.4105  5 Ir 3.10-3.25, 2 Er 3.40
Er1 0.5000 0.1526 0.4110  4 Ir 2.84-3.02
Er2 0.5000 0.4110 0.1526  4 Ir 2.84-3.02
Er3 0.5000 0.6695 0.6695  4 Ir 2.84-3.03
Ir1 0.0000 0.4106 0.4106  6 Er 3.02-3.03, 3 Pr 3.10
Ir2 0.5000 0.0778 0.7446  3 Er 2.84
Ir3 0.5000 0.7446 0.0778  3 Er 2.84

--- four ---
A relaxed structure of PrErIr. Source: Alexandria, functional PBE.

Output
SG   P-1
Theoretical density   10.096 g/cm³

a b c (Å): 4.8899 4.8902 6.8836
angles (deg): 89.70 89.57 90.00
Last column: nearest neighbours and their distance in Å.
Sites, in units of the cell vectors:
Pr1 0.0041 0.4974 0.2500  4 Ir 2.98-3.00
Pr2 0.9959 0.5026 0.7500  4 Ir 2.98-3.00
Er1 0.4966 0.0022 0.7500  4 Ir 2.97-3.01
Er2 0.5034 0.9978 0.2500  4 Ir 2.97-3.01
Ir1 0.0000 0.0000 0.0000  4 Er 2.97-3.01, 4 Pr 2.99
Ir2 0.5000 0.5000 0.5000  4 Er 2.97-3.01, 4 Pr 2.98-3.00

Most stable structure, least stable structure: three, one.

--- one ---
A relaxed structure of PrErIr. Source: Alexandria, functional PBE.

Output
SG   C2/m
Theoretical density   10.740 g/cm³

a b c (Å): 6.4847 6.4905 8.0327
angles (deg): 90.00 113.75 90.00
Last column: nearest neighbours and their distance in Å.
Sites, in units of the cell vectors:
Pr1 0.1855 0.0000 0.3715  1 Ir 2.82
Pr2 0.3145 0.5000 0.6285  1 Ir 2.82
Pr3 0.6855 0.5000 0.3715  1 Ir 2.82
Pr4 0.8145 0.0000 0.6285  1 Ir 2.82
Er1 0.2500 0.2500 0.0000  4 Ir 2.92, 4 Er 3.24-3.25
Er2 0.2500 0.7500 0.0000  4 Ir 2.92, 4 Er 3.24-3.25
Er3 0.7500 0.2500 0.0000  4 Ir 2.92, 4 Er 3.24-3.25
Er4 0.7500 0.7500 0.0000  4 Ir 2.92, 4 Er 3.24-3.25
Ir1 0.1222 0.5000 0.2455  1 Pr 2.82, 4 Er 2.92
Ir2 0.3778 0.0000 0.7545  1 Pr 2.82, 4 Er 2.92
Ir3 0.6222 0.0000 0.2455  1 Pr 2.82, 4 Er 2.92
Ir4 0.8778 0.5000 0.7545  1 Pr 2.82, 4 Er 2.92

--- two ---
A relaxed structure of PrErIr. Source: Alexandria, functional PBE.

Output
SG   I4mm
Theoretical density   10.330 g/cm³

a b c (Å): 3.5218 3.5218 12.9705
angles (deg): 90.00 90.00 90.00
Last column: nearest neighbours and their distance in Å.
Sites, in units of the cell vectors:
Pr1 0.0000 0.0000 0.0000  4 Ir 3.08, 1 Er 3.30
Pr2 0.5000 0.5000 0.5000  4 Ir 3.08, 1 Er 3.30
Er1 0.0000 0.0000 0.2544  4 Ir 2.90
Er2 0.5000 0.5000 0.7544  4 Ir 2.90
Ir1 0.0000 0.0000 0.6392  4 Er 2.90, 4 Pr 3.08
Ir2 0.5000 0.5000 0.1392  4 Er 2.90, 4 Pr 3.08

Most stable structure, least stable structure: one, two.